1.
V2CuS4: optimized geometry, GGA-PBE.

Cell lengths 9.8753, 9.8753, 9.8753 Å; angles 90.00, 90.00, 90.00 degrees
Space group Fd-3m (No. 227, origin choice 2)
Inequivalent atoms, fractional coordinates:
1 V 0.0000 0.0000 0.0000
2 Cu 0.1250 0.1250 0.6250
3 S 0.0061 0.0061 0.2439

Summary:
Final energy   -6.31 eV/atom
Formation energy from raw total energies   -0.759 eV per atom

2.
VCuS2: optimized geometry, GGA-PBE.

Cell lengths 6.0798, 6.0798, 6.0798 Å; angles 90.00, 90.00, 90.00 degrees
Space group Fm-3m (No. 225)
Inequivalent atoms, fractional coordinates:
1 V 0.0000 0.0000 0.0000
2 Cu 0.0000 0.0000 0.5000
3 S 0.2500 0.2500 0.2500

Summary:
Final energy   -5.52 eV/atom
Formation energy from raw total energies   -0.154 eV per atom

3.
VCuS2: optimized geometry, GGA-PBE.

Cell lengths 3.2046, 20.9863, 3.8049 Å; angles 90.00, 90.00, 90.00 degrees
Space group Cmcm (No. 63)
Inequivalent atoms, fractional coordinates:
1 V 0.0000 0.1770 0.2500
2 Cu 0.0000 0.4637 0.2500
3 S 0.0000 0.2946 0.2500
4 S 0.0000 0.4116 0.7500

Summary:
Final energy   -5.82 eV/atom
Formation energy from raw total energies   -0.453 eV per atom

4.
VCuS2: optimized geometry, GGA-PBE.

Cell lengths 5.2717, 5.2717, 10.8326 Å; angles 90.00, 90.00, 90.00 degrees
Space group I-42d (No. 122)
Inequivalent atoms, fractional coordinates:
1 V 0.0000 0.0000 0.0000
2 Cu 0.0000 0.0000 0.5000
3 S 0.2492 0.2500 0.1250

Summary:
Final energy   -5.93 eV/atom
Formation energy from raw total energies   -0.563 eV per atom

5.
ZrVCuS4: optimized geometry, GGA-PBE.

Cell lengths 7.2366, 7.2797, 10.0712 Å; angles 90.00, 90.00, 90.00 degrees
Space group Imma (No. 74)
Inequivalent atoms, fractional coordinates:
1 Zr 0.0000 0.0000 0.0000
2 V 0.2500 0.2500 0.2500
3 Cu 0.0000 0.2500 0.6320
4 S 0.0000 0.0216 0.2546
5 S 0.2495 0.2500 0.0061

Summary:
Final energy   -6.51 eV/atom
Formation energy from raw total energies   -1.038 eV per atom

6.
Cu2WS4: optimized geometry, GGA-PBE.

Cell lengths 5.4606, 5.4606, 5.7652 Å; angles 90.00, 90.00, 90.00 degrees
Space group P-42m (No. 111)
Inequivalent atoms, fractional coordinates:
1 Cu 0.0000 0.5000 0.0000
2 W 0.0000 0.0000 0.0000
3 S 0.2369 0.2369 0.7738

Summary:
Final energy   -5.84 eV/atom
Formation energy from raw total energies   -0.464 eV per atom

7.
CuWS2: optimized geometry, GGA-PBE.

Cell lengths 3.2114, 3.2114, 22.6797 Å; angles 90.00, 90.00, 120.00 degrees
Space group R-3m (No. 166, hexagonal axes)
Inequivalent atoms, fractional coordinates:
1 Cu 0.0000 0.0000 0.0000
2 W 0.0000 0.0000 0.5000
3 S 0.0000 0.0000 0.0966

Summary:
Final energy   -6.57 eV/atom
Formation energy from raw total energies   -0.244 eV per atom

8.
CuW2S: optimized geometry, GGA-PBE.

Cell lengths 3.7484, 3.7484, 17.8827 Å; angles 90.00, 90.00, 90.00 degrees
Space group I-42d (No. 122)
Inequivalent atoms, fractional coordinates:
1 Cu 0.0000 0.0000 0.0000
2 W 0.2454 0.2500 0.1250
3 S 0.0000 0.0000 0.5000

Summary:
Final energy   -7.86 eV/atom
Formation energy from raw total energies   0.674 eV per atom

9.
CuWS2: optimized geometry, GGA-PBE.

Cell lengths 6.0466, 6.0466, 6.0466 Å; angles 90.00, 90.00, 90.00 degrees
Space group Fm-3m (No. 225)
Inequivalent atoms, fractional coordinates:
1 Cu 0.0000 0.0000 0.0000
2 W 0.0000 0.0000 0.5000
3 S 0.2500 0.2500 0.2500

Summary:
Final energy   -6.09 eV/atom
Formation energy from raw total energies   0.241 eV per atom

10.
Cu3WS: optimized geometry, GGA-PBE.

Cell lengths 4.7164, 4.7164, 4.7164 Å; angles 90.00, 90.00, 90.00 degrees
Space group Pm-3m (No. 221)
Inequivalent atoms, fractional coordinates:
1 Cu 0.0000 0.0000 0.5000
2 W 0.0000 0.0000 0.0000
3 S 0.5000 0.5000 0.5000

Summary:
Final energy   -4.06 eV/atom
Formation energy from raw total energies   1.811 eV per atom

11.
Cu2WS4: optimized geometry, GGA-PBE.

Cell lengths 5.4588, 5.4588, 11.4678 Å; angles 90.00, 90.00, 90.00 degrees
Space group I-42m (No. 121)
Inequivalent atoms, fractional coordinates:
1 Cu 0.0000 0.5000 0.0000
2 W 0.0000 0.0000 0.0000
3 S 0.2370 0.2370 0.1138

Summary:
Final energy   -5.85 eV/atom
Formation energy from raw total energies   -0.466 eV per atom

12.
Cu3WS: optimized geometry, GGA-PBE.

Cell lengths 4.2293, 4.2293, 4.2293 Å; angles 90.00, 90.00, 90.00 degrees
Space group Pm-3m (No. 221)
Inequivalent atoms, fractional coordinates:
1 Cu 0.0000 0.0000 0.5000
2 W 0.5000 0.5000 0.5000
3 S 0.0000 0.0000 0.0000

Summary:
Final energy   -4.76 eV/atom
Formation energy from raw total energies   1.116 eV per atom

Number 1: total magnetization 2.97 μB/f.u., N(E_F) 0.994 states/eV per atom. Number 2: total magnetization 2.07 μB/f.u., N(E_F) 0.265 states/eV per atom. Number 3: total magnetization 1.88 μB/f.u., N(E_F) 0.408 states/eV per atom. Number 4: total magnetization 2.00 μB/f.u., N(E_F) 0.362 states/eV per atom. Number 5: total magnetization 1.96 μB/f.u., N(E_F) 0.552 states/eV per atom. Number 6: total magnetization 0.00 μB/f.u., N(E_F) 0.000 states/eV per atom. Number 7: total magnetization 0.00 μB/f.u., N(E_F) 0.486 states/eV per atom. Number 8: total magnetization 0.00 μB/f.u., N(E_F) 0.413 states/eV per atom. Number 9: total magnetization 0.00 μB/f.u., N(E_F) 1.062 states/eV per atom. Number 10: total magnetization 0.00 μB/f.u., N(E_F) 0.766 states/eV per atom. Number 11: total magnetization 0.00 μB/f.u., N(E_F) 0.000 states/eV per atom. Number 12: total magnetization 0.00 μB/f.u., N(E_F) 0.702 states/eV per atom.